Material: Tb2Pm3Nd6
Method: DFT, PBE
State: optimized geometry

Output
Space group = R-3m (166)
Density of states at the Fermi level = 14.66 states/eV per cell
ΔH_f (0 K) = 12 meV/atom
Energy relative to the lowest polymorph listed for this composition = 0 meV/atom

Lattice parameters (Å, degrees): 32.844 32.844 32.844 6.37 6.37 6.37
Element x y z (fractional)
Tb: 0.045 0.045 0.045
Tb: 0.955 0.955 0.955
Pm: 0.228 0.228 0.228
Pm: 0.500 0.500 0.500
Pm: 0.772 0.772 0.772
Nd: 0.136 0.136 0.136
Nd: 0.318 0.318 0.318
Nd: 0.408 0.408 0.408
Nd: 0.592 0.592 0.592
Nd: 0.682 0.682 0.682
Nd: 0.864 0.864 0.864